A plane-wave DFT calculation with PBE was carried out for an optimized crystal structure of La2CoPt2.

The structure belongs to space group P4/mbm (No. 127); the cell edges are 7.359, 7.359 and 4.166 Å and the angles 90.00°, 90.00° and 90.00°. The inequivalent atoms are La at (0.175, 0.325, 0.000), Co at (0.000, 0.000, 0.500) and Pt at (0.137, 0.637, 0.500).

The calculation puts the density of states at the Fermi level at 10.9 states/eV/cell. The total energy comes out at -64.1 eV for the cell shown. For the calculated formation energy, the calculation gives -3.0 eV/f.u. The calculation puts the energy above the most stable polymorph in this dataset at 0.0 meV/atom.



A plane-wave DFT calculation with PBE was carried out for an optimized crystal structure of La2CoPt2.

The structure belongs to space group P4/mbm (No. 127); the cell edges are 8.046, 8.046 and 3.742 Å and the angles 90.00°, 90.00° and 90.00°. The inequivalent atoms are La at (0.173, 0.327, 0.000), Co at (0.000, 0.000, 0.000) and Pt at (0.128, 0.628, 0.500).

The calculation puts the density of states at the Fermi level at 10.9 states/eV/cell. The total energy comes out at -61.8 eV for the cell shown. For the calculated formation energy, the calculation gives -1.9 eV/f.u. The calculation puts the energy above the most stable polymorph in this dataset at 224.5 meV/atom.



A plane-wave DFT calculation with PBE was carried out for an optimized crystal structure of La2CoPt.

The structure belongs to space group I-4m2 (No. 119); the cell edges are 4.128, 4.128 and 10.749 Å and the angles 90.00°, 90.00° and 90.00°. The inequivalent atoms are La at (0.000, 0.000, 0.000), La at (0.000, 0.500, 0.250), Co at (0.000, 0.000, 0.500) and Pt at (0.000, 0.500, 0.750).

The calculation puts the density of states at the Fermi level at 4.7 states/eV/cell. The total energy comes out at -49.0 eV for the cell shown. For the calculated formation energy, the calculation gives -1.5 eV/f.u.



A plane-wave DFT calculation with PBE was carried out for an optimized crystal structure of LaCo2Pt.

The structure belongs to space group R-3m (No. 166, hexagonal axes); the cell edges are 2.8975, 2.8975 and 27.9164 Å and the angles 90.00°, 90.00° and 120.00°. The inequivalent atoms are La at (0.0000, 0.0000, 0.0000), Co at (0.0000, 0.0000, 0.2393) and Pt at (0.0000, 0.0000, 0.5000).

The calculation puts the density of states at the Fermi level at 23.4 states/eV/cell. The total energy comes out at -68.9 eV for the cell shown. For the calculated formation energy, the calculation gives 2.2 eV/f.u.



A plane-wave DFT calculation with PBE was carried out for an optimized crystal structure of LaCo2Pt.

The structure belongs to space group R3m (No. 160, hexagonal axes); the cell edges are 2.9853, 2.9853 and 26.7126 Å and the angles 90.00°, 90.00° and 120.00°. The inequivalent atoms are La at (0.0000, 0.0000, 0.0000), Co at (0.0000, 0.0000, 0.2343), Co at (0.0000, 0.0000, 0.5090) and Pt at (0.0000, 0.0000, 0.7658).

The calculation puts the density of states at the Fermi level at 12.0 states/eV/cell. The total energy comes out at -71.1 eV for the cell shown. For the calculated formation energy, the calculation gives 1.5 eV/f.u.



A plane-wave DFT calculation with PBE was carried out for an optimized crystal structure of La8CoPt2.

The structure belongs to space group C2/m (No. 12); the cell edges are 19.209, 3.999 and 9.071 Å and the angles 90.00°, 93.93° and 90.00°. The inequivalent atoms are La at (0.006, 0.000, 0.199), La at (0.095, 0.500, 0.530), La at (0.153, 0.500, 0.978), La at (0.223, 0.000, 0.337), Co at (0.000, 0.500, 0.000) and Pt at (0.166, 0.000, 0.735).

The calculation puts the density of states at the Fermi level at 24.5 states/eV/cell. The total energy comes out at -127.9 eV for the cell shown. For the calculated formation energy, the calculation gives -5.3 eV/f.u.



A plane-wave DFT calculation with PBE was carried out for an optimized crystal structure of LaCo2Pt2.

The structure belongs to space group P4/mbm (No. 127); the cell edges are 7.554, 7.554 and 2.909 Å and the angles 90.00°, 90.00° and 90.00°. The inequivalent atoms are La at (0.000, 0.000, 0.000), Co at (0.113, 0.387, 0.000) and Pt at (0.179, 0.679, 0.500).

The calculation puts the density of states at the Fermi level at 11.6 states/eV/cell. The total energy comes out at -65.0 eV for the cell shown. For the calculated formation energy, the calculation gives -1.3 eV/f.u. The calculation puts the energy above the most stable polymorph in this dataset at 116.9 meV/atom.



A plane-wave DFT calculation with PBE was carried out for an optimized crystal structure of La2CoPt.

The structure belongs to space group Pm (No. 6); the cell edges are 4.015, 4.262 and 5.904 Å and the angles 90.00°, 109.82° and 90.00°. The inequivalent atoms are La at (0.000, 0.000, 0.000), La at (0.278, 0.500, 0.559), Co at (0.730, 0.000, 0.464) and Pt at (0.564, 0.500, 0.130).

The calculation puts the density of states at the Fermi level at 2.6 states/eV/cell. The total energy comes out at -25.4 eV for the cell shown. For the calculated formation energy, the calculation gives -2.4 eV/f.u.



A plane-wave DFT calculation with PBE was carried out for an optimized crystal structure of LaCo2Pt.

The structure belongs to space group Cm (No. 8); the cell edges are 7.222, 4.169 and 5.611 Å and the angles 90.00°, 115.29° and 90.00°. The inequivalent atoms are La at (0.000, 0.000, 0.000), Co at (0.308, 0.500, 0.424), Co at (0.485, 0.000, 0.455) and Pt at (0.205, 0.000, 0.616).

The calculation puts the density of states at the Fermi level at 7.7 states/eV/cell. The total energy comes out at -53.0 eV for the cell shown. For the calculated formation energy, the calculation gives -1.3 eV/f.u.



A plane-wave DFT calculation with PBE was carried out for an optimized crystal structure of La2CoPt.

The structure belongs to space group Cmmm (No. 65); the cell edges are 5.055, 5.071 and 7.160 Å and the angles 90.00°, 90.00° and 90.00°. The inequivalent atoms are La at (0.000, 0.000, 0.239), Co at (0.000, 0.500, 0.000) and Pt at (0.000, 0.500, 0.500).

The calculation puts the density of states at the Fermi level at 6.2 states/eV/cell. The total energy comes out at -50.2 eV for the cell shown. For the calculated formation energy, the calculation gives -2.1 eV/f.u.



A plane-wave DFT calculation with PBE was carried out for an optimized crystal structure of La2CoPt2.

The structure belongs to space group I4/mmm (No. 139); the cell edges are 5.704, 5.704 and 7.670 Å and the angles 90.00°, 90.00° and 90.00°. The inequivalent atoms are La at (0.000, 0.500, 0.250), Co at (0.000, 0.000, 0.000) and Pt at (0.000, 0.000, 0.326).

The calculation puts the density of states at the Fermi level at 11.9 states/eV/cell. The total energy comes out at -63.6 eV for the cell shown. For the calculated formation energy, the calculation gives -2.7 eV/f.u. The calculation puts the energy above the most stable polymorph in this dataset at 49.9 meV/atom.



A plane-wave DFT calculation with PBE was carried out for an optimized crystal structure of La8CoPt2Rh.

The structure belongs to space group P2/m (No. 10); the cell edges are 6.767, 8.488 and 6.898 Å and the angles 90.00°, 90.69° and 90.00°. The inequivalent atoms are La at (0.147, 0.000, 0.248), La at (0.156, 0.500, 0.250), La at (0.351, 0.260, 0.725), Co at (0.500, 0.500, 0.500), Pt at (0.000, 0.251, 0.000) and Rh at (0.500, 0.000, 0.500).

The calculation puts the density of states at the Fermi level at 12.6 states/eV/cell. The total energy comes out at -72.5 eV for the cell shown. For the calculated formation energy, the calculation gives -6.5 eV/f.u.